1.
# HfSc2In

A geometry-optimized HfSc2In structure (GGA-PBE, Alexandria via LeMat-Bulk).

Values from the calculation:
Its magnetization is 0.00 Bohr magnetons per cell. As for the formation energy: -87 kJ/mol of formula units. The calculation puts the density of states at the Fermi level at 0.87 states/eV/atom. The calculation puts the total DFT energy (no corrections) at -6.565 eV per atom.

a = 3.275 Å, b = 3.275 Å, c = 8.516 Å
α = 90.00°, β = 90.00°, γ = 90.00°
Positions (direct):
Hf 0.000 0.000 0.000
Sc 0.500 0.500 0.252
Sc 0.500 0.500 0.748
In 0.000 0.000 0.500

2.
# AlAs3

A geometry-optimized AlAs3 structure (GGA-PBE, Alexandria via LeMat-Bulk).

Values from the calculation:
Its magnetization is 0.00 Bohr magnetons per cell. The energy relative to the lowest polymorph listed for this composition is 21.89 kJ per mole of atoms. As for the formation energy: 49 kJ/mol of formula units. The calculation puts the density of states at the Fermi level at 0.44 states/eV/atom. The calculation puts the total DFT energy (no corrections) at -4.296 eV per atom.

a = 7.457 Å, b = 7.457 Å, c = 3.591 Å
α = 90.00°, β = 90.00°, γ = 116.38°
Positions (direct):
Al 0.077 0.923 0.750
Al 0.923 0.077 0.250
As 0.096 0.453 0.250
As 0.422 0.578 0.750
As 0.453 0.096 0.750
As 0.547 0.904 0.250
As 0.578 0.422 0.250
As 0.904 0.547 0.750